1.
Y4PtSe2Br | GGA-PBE | relaxed

## Properties
The value obtained for the total energy is -6.52 eV/atom. The calculation puts the volume at 200.9 Å³ per cell. As for the total magnetic moment: 0.00 μB per formula unit.

Cell lengths 3.9898, 7.2767, 7.2676 Å; angles 72.21, 90.00, 90.00 degrees
With the nearest neighbours (Å) after each atom.
Atoms (fractional coordinates):
Se 0.5000 0.0000 0.5000  6 Y 2.82-2.89
Se 0.0000 0.0000 0.0000  6 Y 3.02-3.06
Y 0.5000 0.7349 0.2749  2 Pt 2.81, 3 Se 2.89-3.06, 1 Br 3.00
Y 0.0000 0.2394 0.2743  3 Se 2.82-3.02, 1 Pt 2.86, 2 Br 3.04
Y 0.0000 0.7606 0.7257  3 Se 2.82-3.02, 1 Pt 2.86, 2 Br 3.04
Y 0.5000 0.2651 0.7251  2 Pt 2.81, 3 Se 2.89-3.06, 1 Br 3.00
Br 0.5000 0.5000 0.0000  6 Y 3.00-3.04
Pt 0.0000 0.5000 0.5000  6 Y 2.81-2.86

=====

2.
TcSbMoI2 | GGA-PBE | relaxed

## Properties
The value obtained for the total energy is -4.35 eV/atom. The energy above the most stable polymorph in this dataset is 0.000 kcal/mol of atoms. The calculation puts the volume at 166.2 Å³ per cell. As for the total magnetic moment: 7.21 μB per formula unit.

Cell lengths 5.5672, 5.5672, 5.3622 Å; angles 90.00, 90.00, 90.00 degrees
With the nearest neighbours (Å) after each atom.
Atoms (fractional coordinates):
I 0.0000 0.5000 0.0000  2 Mo 2.78
I 0.5000 0.0000 0.0000  2 Mo 2.78
Mo 0.0000 0.0000 0.0000  2 Sb 2.68, 4 I 2.78
Sb 0.0000 0.0000 0.5000  2 Mo 2.68
Tc 0.5000 0.5000 0.5000  8 I 3.86, 4 Sb 3.94

=====

3.
HoPaO6 | GGA-PBE | relaxed

## Properties
The value obtained for the total energy is -7.54 eV/atom. The calculation puts the volume at 151.3 Å³ per cell. As for the total magnetic moment: 0.00 μB per formula unit.

Cell lengths 5.9817, 5.9817, 5.9817 Å; angles 60.00, 60.00, 60.00 degrees
With the nearest neighbours (Å) after each atom.
Atoms (fractional coordinates):
O 0.7377 0.2623 0.2623  1 Pa 2.01, 1 Ho 2.22
O 0.7377 0.2623 0.7377  1 Pa 2.01, 1 Ho 2.22
O 0.7377 0.7377 0.2623  1 Pa 2.01, 1 Ho 2.22
O 0.2623 0.7377 0.7377  1 Pa 2.01, 1 Ho 2.22
O 0.2623 0.7377 0.2623  1 Pa 2.01, 1 Ho 2.22
O 0.2623 0.2623 0.7377  1 Pa 2.01, 1 Ho 2.22
Ho 0.0000 0.0000 0.0000  6 O 2.22
Pa 0.5000 0.5000 0.5000  6 O 2.01

=====

4.
BaCoRe2 | GGA-PBE | relaxed

## Properties
The value obtained for the total energy is -7.81 eV/atom. The energy above the most stable polymorph in this dataset is 3.921 kcal/mol of atoms. As for the formation energy: 0.667 eV/atom. The calculation puts the volume at 78.0 Å³ per cell. As for the total magnetic moment: 0.00 μB per formula unit.

Cell lengths 3.1483, 3.1483, 7.8657 Å; angles 90.00, 90.00, 90.00 degrees
With the nearest neighbours (Å) after each atom.
Atoms (fractional coordinates):
Re 0.5000 0.5000 0.1669  4 Re 2.61, 1 Co 2.64
Re 0.0000 0.0000 0.9949  4 Co 2.57, 4 Re 2.61
Ba 0.0000 0.0000 0.5077  4 Ba 3.15, 4 Co 3.38, 4 Re 3.48
Co 0.5000 0.5000 0.8306  5 Re 2.57-2.64

=====

5.
BaNb3Se | GGA-PBE | relaxed

## Properties
The value obtained for the total energy is -6.42 eV/atom. The energy above the most stable polymorph in this dataset is 0.000 kcal/mol of atoms. The calculation puts the volume at 123.2 Å³ per cell. As for the total magnetic moment: 0.00 μB per formula unit.

Cell lengths 4.9757, 4.9757, 4.9757 Å; angles 90.00, 90.00, 90.00 degrees
With the nearest neighbours (Å) after each atom.
Atoms (fractional coordinates):
Se 0.0000 0.0000 0.0000  6 Nb 2.49
Nb 0.5000 0.0000 0.0000  2 Se 2.49
Nb 0.0000 0.0000 0.5000  2 Se 2.49
Nb 0.0000 0.5000 0.0000  2 Se 2.49
Ba 0.5000 0.5000 0.5000  12 Nb 3.52

=====

6.
LiPrTh2 | GGA-PBE | relaxed

## Properties
The value obtained for the total energy is -5.18 eV/atom. The energy above the most stable polymorph in this dataset is 0.588 kcal/mol of atoms. As for the formation energy: 0.201 eV/atom. The calculation puts the volume at 119.4 Å³ per cell. As for the total magnetic moment: 0.00 μB per formula unit.

Cell lengths 3.6013, 3.6013, 9.2026 Å; angles 90.00, 90.00, 90.00 degrees
With the nearest neighbours (Å) after each atom.
Atoms (fractional coordinates):
Th 0.0000 0.0000 0.7818  4 Li 3.24, 4 Th 3.60
Th 0.0000 0.0000 0.2182  4 Li 3.24, 4 Th 3.60
Pr 0.5000 0.5000 0.5000  4 Pr 3.60, 8 Th 3.63
Li 0.5000 0.5000 0.0000  8 Th 3.24, 4 Li 3.60